[1]
Density functional theory data (PBE) for Tb2Pr6Tm3Sc after structural relaxation.

Summary:
As for the calculated total energy: -57.374 eV for the cell shown. The space-group type is C2/m (12). Its energy of formation is 26 meV per atom. The value obtained for the total moment is 0.000 Bohr magnetons per cell.

```
data_Tb2Pr6Tm3Sc
_cell_length_a 6.254
_cell_length_b 6.254
_cell_length_c 11.755
_cell_angle_alpha 95.09
_cell_angle_beta 95.09
_cell_angle_gamma 119.99
_space_group_name_H-M_alt 'P 1'
_space_group_IT_number 1
loop_
_space_group_symop_operation_xyz
'x,y,z'
loop_
_atom_site_label
_atom_site_type_symbol
_atom_site_fract_x
_atom_site_fract_y
_atom_site_fract_z
Tb1 Tb 0.333 0.667 0.000
Tb2 Tb 0.667 0.333 0.000
Pr1 Pr 0.917 0.587 0.751
Pr2 Pr 0.752 0.752 0.250
Pr3 Pr 0.083 0.413 0.249
Pr4 Pr 0.587 0.917 0.751
Pr5 Pr 0.248 0.248 0.750
Pr6 Pr 0.413 0.083 0.249
Tm1 Tm 0.167 0.833 0.500
Tm2 Tm 0.833 0.167 0.500
Tm3 Tm 0.500 0.500 0.500
Sc1 Sc 0.000 0.000 0.000
```

***

[2]
Density functional theory data (PBE) for TbPr6Tm2Sc after structural relaxation.

Summary:
As for the calculated total energy: -94.625 eV for the cell shown. The space-group type is C2/c (15). Its energy of formation is 127 meV per atom. The value obtained for the total moment is 0.000 Bohr magnetons per cell.

```
data_TbPr6Tm2Sc
_cell_length_a 9.460
_cell_length_b 8.976
_cell_length_c 8.976
_cell_angle_alpha 117.34
_cell_angle_beta 93.44
_cell_angle_gamma 93.44
_space_group_name_H-M_alt 'P 1'
_space_group_IT_number 1
loop_
_space_group_symop_operation_xyz
'x,y,z'
loop_
_atom_site_label
_atom_site_type_symbol
_atom_site_fract_x
_atom_site_fract_y
_atom_site_fract_z
Tb1 Tb 0.250 0.972 0.028
Tb2 Tb 0.750 0.028 0.972
Pr1 Pr 0.052 0.117 0.769
Pr2 Pr 0.448 0.231 0.883
Pr3 Pr 0.948 0.883 0.231
Pr4 Pr 0.552 0.769 0.117
Pr5 Pr 0.305 0.011 0.443
Pr6 Pr 0.195 0.557 0.989
Pr7 Pr 0.695 0.989 0.557
Pr8 Pr 0.805 0.443 0.011
Pr9 Pr 0.113 0.707 0.484
Pr10 Pr 0.387 0.516 0.293
Pr11 Pr 0.887 0.293 0.516
Pr12 Pr 0.613 0.484 0.707
Tm1 Tm 0.450 0.795 0.700
Tm2 Tm 0.050 0.300 0.205
Tm3 Tm 0.550 0.205 0.300
Tm4 Tm 0.950 0.700 0.795
Sc1 Sc 0.250 0.421 0.579
Sc2 Sc 0.750 0.579 0.421
```

***

[3]
Density functional theory data (PBE) for TbPrTm5Sc2 after structural relaxation.

Summary:
As for the calculated total energy: -85.708 eV for the cell shown. The space-group type is Cmc2_1 (36). Its energy of formation is 175 meV per atom. The value obtained for the total moment is 0.000 Bohr magnetons per cell.

```
data_TbPrTm5Sc2
_cell_length_a 5.538
_cell_length_b 11.003
_cell_length_c 9.291
_cell_angle_alpha 90.00
_cell_angle_beta 90.00
_cell_angle_gamma 104.58
_space_group_name_H-M_alt 'P 1'
_space_group_IT_number 1
loop_
_space_group_symop_operation_xyz
'x,y,z'
loop_
_atom_site_label
_atom_site_type_symbol
_atom_site_fract_x
_atom_site_fract_y
_atom_site_fract_z
Tb1 Tb 0.809 0.619 0.519
Tb2 Tb 0.191 0.381 0.019
Pr1 Pr 0.597 0.194 0.916
Pr2 Pr 0.403 0.806 0.416
Tm1 Tm 0.391 0.781 0.042
Tm2 Tm 0.736 0.472 0.837
Tm3 Tm 0.469 0.938 0.749
Tm4 Tm 0.308 0.617 0.723
Tm5 Tm 0.994 0.987 0.526
Tm6 Tm 0.609 0.219 0.542
Tm7 Tm 0.264 0.528 0.337
Tm8 Tm 0.531 0.062 0.249
Tm9 Tm 0.692 0.383 0.223
Tm10 Tm 0.006 0.013 0.026
Sc1 Sc 0.887 0.774 0.823
Sc2 Sc 0.146 0.293 0.689
Sc3 Sc 0.113 0.226 0.323
Sc4 Sc 0.854 0.707 0.189
```

***

[4]
Density functional theory data (PBE) for Tb2PrTmSc after structural relaxation.

Summary:
As for the calculated total energy: -45.960 eV for the cell shown. The space-group type is Cmcm (63). Its energy of formation is 373 meV per atom. The value obtained for the total moment is 0.001 Bohr magnetons per cell.

```
data_Tb2PrTmSc
_cell_length_a 6.352
_cell_length_b 6.361
_cell_length_c 8.598
_cell_angle_alpha 111.71
_cell_angle_beta 90.00
_cell_angle_gamma 90.00
_space_group_name_H-M_alt 'P 1'
_space_group_IT_number 1
loop_
_space_group_symop_operation_xyz
'x,y,z'
loop_
_atom_site_label
_atom_site_type_symbol
_atom_site_fract_x
_atom_site_fract_y
_atom_site_fract_z
Tb1 Tb 0.500 0.248 0.000
Tb2 Tb 0.000 0.752 0.000
Tb3 Tb 0.500 0.752 0.000
Tb4 Tb 0.000 0.248 0.000
Pr1 Pr 0.250 0.663 0.325
Pr2 Pr 0.750 0.337 0.675
Tm1 Tm 0.750 0.752 0.504
Tm2 Tm 0.250 0.248 0.496
Sc1 Sc 0.250 0.846 0.693
Sc2 Sc 0.750 0.154 0.307
```

***

[5]
Density functional theory data (PBE) for Tb3Pr6Tm2Sc after structural relaxation.

Summary:
As for the calculated total energy: -57.530 eV for the cell shown. The space-group type is C2/m (12). Its energy of formation is 26 meV per atom. The value obtained for the total moment is 0.000 Bohr magnetons per cell.

```
data_Tb3Pr6Tm2Sc
_cell_length_a 6.267
_cell_length_b 6.267
_cell_length_c 11.777
_cell_angle_alpha 95.08
_cell_angle_beta 95.08
_cell_angle_gamma 119.99
_space_group_name_H-M_alt 'P 1'
_space_group_IT_number 1
loop_
_space_group_symop_operation_xyz
'x,y,z'
loop_
_atom_site_label
_atom_site_type_symbol
_atom_site_fract_x
_atom_site_fract_y
_atom_site_fract_z
Tb1 Tb 0.167 0.833 0.500
Tb2 Tb 0.833 0.167 0.500
Tb3 Tb 0.500 0.500 0.500
Pr1 Pr 0.918 0.587 0.754
Pr2 Pr 0.751 0.751 0.246
Pr3 Pr 0.082 0.413 0.246
Pr4 Pr 0.587 0.918 0.754
Pr5 Pr 0.249 0.249 0.754
Pr6 Pr 0.413 0.082 0.246
Tm1 Tm 0.333 0.667 0.000
Tm2 Tm 0.667 0.333 0.000
Sc1 Sc 0.000 0.000 0.000
```

***

[6]
Density functional theory data (PBE) for Tb2PrTm4Sc after structural relaxation.

Summary:
As for the calculated total energy: -37.947 eV for the cell shown. The space-group type is P2/m (10). Its energy of formation is 39 meV per atom. The value obtained for the total moment is 0.000 Bohr magnetons per cell.

```
data_Tb2PrTm4Sc
_cell_length_a 4.957
_cell_length_b 4.954
_cell_length_c 11.097
_cell_angle_alpha 63.53
_cell_angle_beta 90.00
_cell_angle_gamma 90.00
_space_group_name_H-M_alt 'P 1'
_space_group_IT_number 1
loop_
_space_group_symop_operation_xyz
'x,y,z'
loop_
_atom_site_label
_atom_site_type_symbol
_atom_site_fract_x
_atom_site_fract_y
_atom_site_fract_z
Tb1 Tb 0.000 0.000 0.000
Tb2 Tb 0.500 0.000 0.500
Pr1 Pr 0.500 0.500 0.000
Tm1 Tm 0.000 0.757 0.743
Tm2 Tm 0.000 0.243 0.257
Tm3 Tm 0.500 0.743 0.257
Tm4 Tm 0.500 0.257 0.743
Sc1 Sc 0.000 0.500 0.500
```